No. 1
Here is CsLi2Sb2 at its PBEsol-relaxed geometry from Alexandria. Energies are from SCAN.

extended XYZ file:
```
10
Lattice="5.1613 0.0000 0.0000 0.0000 5.1613 0.0000 0.0000 0.0000 10.7585" Properties=species:S:1:pos:R:3 pbc="T T T"
Cs 0.0000 0.0000 0.0000
Cs 2.5806 2.5806 5.3793
Li 0.0000 2.5806 2.6896
Li 0.0000 2.5806 8.0689
Li 2.5806 0.0000 2.6896
Li 2.5806 0.0000 8.0689
Sb 0.0000 0.0000 3.9879
Sb 0.0000 0.0000 6.7706
Sb 2.5806 2.5806 1.3913
Sb 2.5806 2.5806 9.3672
```

Its calculated density is 4.523 g/cm3. Its space group is I4/mmm. Its formation energy from raw total energies is -0.5082 eV/atom. The crystal system is tetragonal. The energy is -23.931 eV per atom.

=====

No. 2
Here is YInSe2 at its PBEsol-relaxed geometry from Alexandria. Energies are from SCAN.

extended XYZ file:
```
4
Lattice="4.1179 0.0000 0.0000 0.0000 4.1179 0.0000 0.0000 0.0000 5.8652" Properties=species:S:1:pos:R:3 pbc="T T T"
Y 0.0000 0.0000 0.0000
In 2.0589 2.0589 2.9326
Se 0.0000 0.0000 2.9326
Se 2.0589 2.0589 0.0000
```

Its calculated density is 6.038 g/cm3. Its space group is P4/mmm. Its formation energy from raw total energies is -1.2590 eV/atom. The crystal system is tetragonal. The energy is -26.606 eV per atom.

=====

No. 3
Here is As2HPd at its PBEsol-relaxed geometry from Alexandria. Energies are from SCAN.

extended XYZ file:
```
16
Lattice="6.0207 0.0000 0.0000 0.0000 6.0207 0.0000 0.0000 0.0000 6.0207" Properties=species:S:1:pos:R:3 pbc="T T T"
As 1.5052 1.5052 1.5052
As 1.5052 1.5052 4.5155
As 1.5052 4.5155 1.5052
As 1.5052 4.5155 4.5155
As 4.5155 1.5052 1.5052
As 4.5155 1.5052 4.5155
As 4.5155 4.5155 1.5052
As 4.5155 4.5155 4.5155
H 0.0000 0.0000 0.0000
H 0.0000 3.0104 3.0104
H 3.0104 0.0000 3.0104
H 3.0104 3.0104 0.0000
Pd 0.0000 0.0000 3.0104
Pd 0.0000 3.0104 0.0000
Pd 3.0104 0.0000 0.0000
Pd 3.0104 3.0104 3.0104
```

Its calculated density is 7.830 g/cm3. Its space group is Fm-3m. The crystal system is cubic. The energy is -18.907 eV per atom.

=====

No. 4
Here is Ge3IrCl at its PBEsol-relaxed geometry from Alexandria. Energies are from SCAN.

extended XYZ file:
```
5
Lattice="4.7824 0.0000 0.0000 0.0000 4.7824 0.0000 0.0000 0.0000 4.7824" Properties=species:S:1:pos:R:3 pbc="T T T"
Ge 0.0000 0.0000 2.3912
Ge 0.0000 2.3912 0.0000
Ge 2.3912 0.0000 0.0000
Ir 0.0000 0.0000 0.0000
Cl 2.3912 2.3912 2.3912
```

Its calculated density is 6.765 g/cm3. Its space group is Pm-3m. Its formation energy from raw total energies is 0.0480 eV/atom. The crystal system is cubic. The energy is -27.220 eV per atom.

=====

No. 5
Here is BaSr2Au2 at its PBEsol-relaxed geometry from Alexandria. Energies are from SCAN.

extended XYZ file:
```
10
Lattice="8.4111 0.0000 0.0000 0.0000 8.4111 0.0000 0.0000 0.0000 4.5290" Properties=species:S:1:pos:R:3 pbc="T T T"
Ba 0.0000 0.0000 0.0000
Ba 4.2055 4.2055 0.0000
Sr 1.3639 2.8417 2.2645
Sr 2.8417 7.0472 2.2645
Sr 5.5694 1.3639 2.2645
Sr 7.0472 5.5694 2.2645
Au 1.0394 5.2449 0.0000
Au 3.1661 1.0394 0.0000
Au 5.2449 7.3717 0.0000
Au 7.3717 3.1661 0.0000
```

Its calculated density is 7.323 g/cm3. Its space group is P4/mbm. The crystal system is tetragonal. The energy is -45.217 eV per atom.

=====

No. 6
Here is K2WO4 at its PBEsol-relaxed geometry from Alexandria. Energies are from SCAN.

extended XYZ file:
```
14
Lattice="6.1605 -3.0552 0.0000 6.1605 3.0552 0.0000 -3.2904 0.0000 6.7661" Properties=species:S:1:pos:R:3 pbc="T T T"
K -0.6632 0.0000 1.5827
K 3.4112 0.0000 1.7009
K 5.6193 0.0000 5.0653
K 9.6937 0.0000 5.1835
W 1.4532 0.0000 5.2333
W 7.5773 0.0000 1.5328
O 1.3680 1.4638 6.2651
O 0.0163 0.0000 4.1582
O 7.6625 1.4638 0.5011
O 2.9909 0.0000 4.3096
O 6.0396 0.0000 2.4565
O 1.3680 -1.4638 6.2651
O 9.0142 0.0000 2.6079
O 7.6625 -1.4638 0.5011
```

Its calculated density is 4.251 g/cm3. Its space group is C2/m. Its formation energy from raw total energies is -2.3456 eV/atom. The crystal system is monoclinic. The energy is -18.241 eV per atom.

=====

No. 7
Here is Pr2Ni2Sn at its PBEsol-relaxed geometry from Alexandria. Energies are from SCAN.

extended XYZ file:
```
10
Lattice="4.2830 0.0000 0.0000 0.0000 5.6818 0.0000 0.0000 0.0000 8.6055" Properties=species:S:1:pos:R:3 pbc="T T T"
Pr 0.0000 0.0000 1.7419
Pr 0.0000 0.0000 6.8637
Pr 2.1415 2.8409 2.5609
Pr 2.1415 2.8409 6.0447
Ni 0.0000 1.6371 4.3028
Ni 0.0000 4.0447 4.3028
Ni 2.1415 1.2038 0.0000
Ni 2.1415 4.4780 0.0000
Sn 0.0000 2.8409 0.0000
Sn 2.1415 0.0000 4.3028
```

Its calculated density is 8.213 g/cm3. Its space group is Immm. The crystal system is orthorhombic. The energy is -31.516 eV per atom.

=====

No. 8
Here is CuTc2Br at its PBEsol-relaxed geometry from Alexandria. Energies are from SCAN.

extended XYZ file:
```
8
Lattice="2.9037 0.0000 0.0000 0.0000 4.7195 0.0000 0.0000 0.0000 8.9432" Properties=species:S:1:pos:R:3 pbc="T T T"
Cu 0.0000 0.0000 0.0000
Cu 1.4519 2.3597 0.0000
Tc 0.0000 0.0000 4.1658
Tc 0.0000 2.3597 2.1356
Tc 1.4519 0.0000 2.1356
Tc 1.4519 2.3597 4.1658
Br 0.0000 2.3597 6.6361
Br 1.4519 0.0000 6.6361
```

Its calculated density is 9.198 g/cm3. Its space group is Cmm2. For the relative energy among the computed polymorphs, the calculation gives 0 meV/atom. Its formation energy from raw total energies is 0.6887 eV/atom. The crystal system is orthorhombic. The energy is -25.506 eV per atom.

=====

Question: Which formula does entry 5 have?
Answer: BaSr2Au2

=====

Question: Which formula does entry 7 have?
Answer: Pr2Ni2Sn

=====

Copy entry 3 word for word.
Here is As2HPd at its PBEsol-relaxed geometry from Alexandria. Energies are from SCAN.

extended XYZ file:
```
16
Lattice="6.0207 0.0000 0.0000 0.0000 6.0207 0.0000 0.0000 0.0000 6.0207" Properties=species:S:1:pos:R:3 pbc="T T T"
As 1.5052 1.5052 1.5052
As 1.5052 1.5052 4.5155
As 1.5052 4.5155 1.5052
As 1.5052 4.5155 4.5155
As 4.5155 1.5052 1.5052
As 4.5155 1.5052 4.5155
As 4.5155 4.5155 1.5052
As 4.5155 4.5155 4.5155
H 0.0000 0.0000 0.0000
H 0.0000 3.0104 3.0104
H 3.0104 0.0000 3.0104
H 3.0104 3.0104 0.0000
Pd 0.0000 0.0000 3.0104
Pd 0.0000 3.0104 0.0000
Pd 3.0104 0.0000 0.0000
Pd 3.0104 3.0104 3.0104
```

Its calculated density is 7.830 g/cm3. Its space group is Fm-3m. The crystal system is cubic. The energy is -18.907 eV per atom.